No. 1
Below is crystalline WI3 at its relaxed geometry, with properties calculated at the PBE-GGA level. Values from VASP.

Calculated values
E_form (uncorrected) ... 1.364 eV per atom
Density ... 8.16 g cm⁻³
Calculated total energy ... -3.0368 eV/atom

```
&SYSTEM
  ibrav = 0, nat = 4, ntyp = 2
/
ATOMIC_SPECIES
I 126.90 I.upf
W 183.84 W.upf
ATOMIC_POSITIONS crystal
I 0.250 0.250 0.250
I 0.750 0.750 0.750
I 0.000 0.000 0.000
W 0.500 0.500 0.500
CELL_PARAMETERS angstrom
0.000 3.858 3.858
3.858 0.000 3.858
3.858 3.858 0.000
```

No. 2
Below is crystalline FeAgAs3 at its relaxed geometry, with properties calculated at the PBE-GGA level. Values from VASP.

Calculated values
Density ... 6.65 g cm⁻³
Calculated total energy ... -4.5920 eV/atom
Energy of formation ... 461 meV per atom

```
&SYSTEM
  ibrav = 0, nat = 5, ntyp = 3
/
ATOMIC_SPECIES
As 74.92 As.upf
Fe 55.84 Fe.upf
Ag 107.87 Ag.upf
ATOMIC_POSITIONS crystal
As 0.000 0.500 0.000
As 0.000 0.000 0.500
As 0.500 0.000 0.000
Fe 0.000 0.000 0.000
Ag 0.500 0.500 0.500
CELL_PARAMETERS angstrom
4.595 0.000 0.000
0.000 4.595 0.000
0.000 0.000 4.595
```

No. 3
Below is crystalline K2ZrOs at its relaxed geometry, with properties calculated at the PBE-GGA level. Values from VASP.

Calculated values
Density ... 6.21 g cm⁻³
Calculated total energy ... -4.2792 eV/atom
Energy of formation ... 1214 meV per atom

```
&SYSTEM
  ibrav = 0, nat = 4, ntyp = 3
/
ATOMIC_SPECIES
K 39.10 K.upf
Os 190.23 Os.upf
Zr 91.22 Zr.upf
ATOMIC_POSITIONS crystal
K 0.000 0.000 0.030
K 0.000 0.000 0.470
Os 0.500 0.500 0.250
Zr 0.500 0.500 0.750
CELL_PARAMETERS angstrom
2.915 -0.024 0.000
-1.308 2.606 0.000
0.000 0.000 12.717
```

No. 4
Below is crystalline K3PrSb2Te6 at its relaxed geometry, with properties calculated at the PBE-GGA level. Values from VASP.

Calculated values
E_form (uncorrected) ... -0.819 eV per atom
Density ... 4.69 g cm⁻³
Calculated total energy ... -3.7496 eV/atom

```
&SYSTEM
  ibrav = 0, nat = 12, ntyp = 4
/
ATOMIC_SPECIES
K 39.10 K.upf
Pr 140.91 Pr.upf
Sb 121.76 Sb.upf
Te 127.60 Te.upf
ATOMIC_POSITIONS crystal
K 0.165 0.835 0.500
K 0.835 0.165 0.500
K 0.500 0.500 0.500
Pr 0.000 0.000 0.000
Sb 0.333 0.667 0.000
Sb 0.667 0.333 0.000
Te 0.931 0.587 0.792
Te 0.726 0.726 0.208
Te 0.069 0.413 0.208
Te 0.587 0.931 0.792
Te 0.274 0.274 0.792
Te 0.413 0.069 0.208
CELL_PARAMETERS angstrom
-1.173 -3.508 7.002
2.604 -4.234 -6.165
7.318 4.257 1.865
```

No. 5
Below is crystalline AlCu2Au at its relaxed geometry, with properties calculated at the PBE-GGA level. Values from VASP.

Calculated values
Density ... 10.22 g cm⁻³
Calculated total energy ... -3.9850 eV/atom
Energy of formation ... -182 meV per atom

```
&SYSTEM
  ibrav = 0, nat = 4, ntyp = 3
/
ATOMIC_SPECIES
Au 196.97 Au.upf
Al 26.98 Al.upf
Cu 63.55 Cu.upf
ATOMIC_POSITIONS crystal
Au 0.246 0.246 0.269
Al 0.493 0.493 0.495
Cu 0.007 0.007 0.968
Cu 0.754 0.754 0.768
CELL_PARAMETERS angstrom
4.737 0.033 0.039
3.803 2.824 0.039
1.214 0.406 4.314
```

No. 6
Below is crystalline Cd2SiO4 at its relaxed geometry, with properties calculated at the PBE-GGA level. Values from VASP.

Calculated values
E_form (uncorrected) ... -1.548 eV per atom
Density ... 6.91 g cm⁻³
Calculated total energy ... -5.4171 eV/atom

```
&SYSTEM
  ibrav = 0, nat = 7, ntyp = 3
/
ATOMIC_SPECIES
Si 28.09 Si.upf
O 16.00 O.upf
Cd 112.41 Cd.upf
ATOMIC_POSITIONS crystal
Si 0.000 0.000 0.000
O 0.155 0.155 0.689
O 0.845 0.845 0.311
O 0.000 0.500 0.000
O 0.500 0.000 0.000
Cd 0.347 0.347 0.305
Cd 0.653 0.653 0.695
CELL_PARAMETERS angstrom
-0.495 -1.070 3.357
-2.673 -2.095 -1.062
2.296 -6.094 0.281
```

No. 7
Below is crystalline Pm3Zn2CuPd9 at its relaxed geometry, with properties calculated at the PBE-GGA level. Values from VASP.

Calculated values
Density ... 8.58 g cm⁻³
Calculated total energy ... -4.8389 eV/atom
Energy of formation ... -330 meV per atom

```
&SYSTEM
  ibrav = 0, nat = 15, ntyp = 4
/
ATOMIC_SPECIES
Pm 145.00 Pm.upf
Zn 65.41 Zn.upf
Cu 63.55 Cu.upf
Pd 106.42 Pd.upf
ATOMIC_POSITIONS crystal
Pm 0.333 0.667 0.665
Pm 0.000 0.000 0.000
Pm 0.667 0.333 0.335
Zn 0.333 0.667 0.168
Zn 0.667 0.333 0.832
Cu 0.000 0.000 0.500
Pd 0.833 0.167 0.664
Pd 0.833 0.666 0.664
Pd 0.334 0.167 0.664
Pd 0.666 0.833 0.336
Pd 0.167 0.334 0.336
Pd 0.167 0.833 0.336
Pd 0.500 0.000 0.000
Pd 0.000 0.500 0.000
Pd 0.500 0.500 0.000
CELL_PARAMETERS angstrom
-2.613 -6.546 -2.496
5.180 3.698 -3.924
4.576 -3.038 3.177
```

No. 8
Below is crystalline MnIn2Pd3 at its relaxed geometry, with properties calculated at the PBE-GGA level. Values from VASP.

Calculated values
Density ... 9.83 g cm⁻³
Calculated total energy ... -5.4419 eV/atom
Energy of formation ... -404 meV per atom

```
&SYSTEM
  ibrav = 0, nat = 12, ntyp = 3
/
ATOMIC_SPECIES
Mn 54.94 Mn.upf
In 114.82 In.upf
Pd 106.42 Pd.upf
ATOMIC_POSITIONS crystal
Mn 0.334 0.332 0.000
Mn 0.666 0.668 0.000
In 0.000 0.000 0.000
In 0.000 0.000 0.500
In 0.333 0.334 0.500
In 0.667 0.666 0.500
Pd 0.829 0.342 0.763
Pd 0.500 0.000 0.247
Pd 0.171 0.658 0.237
Pd 0.829 0.342 0.237
Pd 0.171 0.658 0.763
Pd 0.500 0.000 0.753
CELL_PARAMETERS angstrom
4.560 0.000 0.018
2.280 6.867 0.009
-0.026 0.000 6.514
```

| no. | total magnetic moment (μB per cell) |
| --- | --- |
| 1 | 3.0 |
| 2 | 0.0 |
| 3 | 0.0 |
| 4 | 0.0 |
| 5 | 0.0 |
| 6 | 0.0 |
| 7 | 0.0 |
| 8 | 8.6 |